Th3Al9Tc2: relaxed, PBE.

Unit cell a=8.320 b=8.320 c=8.320 alpha=148.97 beta=108.58 gamma=79.89
Sites, in units of the cell vectors:
Al  0.840  0.123  0.717
Al  0.500  0.000  0.500
Al  0.160  0.877  0.283
Al  0.705  0.348  0.357
Tc  0.325  0.500  0.825
Al  0.406  0.123  0.283
Al  0.594  0.877  0.717
Al  0.009  0.652  0.357
Th  0.302  0.302  0.000
Al  0.991  0.348  0.643
Th  0.000  0.000  0.000
Th  0.698  0.698  0.000
Tc  0.675  0.500  0.175
Al  0.295  0.652  0.643

Computed properties:
Density in Mg/m³: 6.83
Total magnetization in μB/cell: 0.01
Space group: Immm
E_tot in eV/cell: -83.20